## Tb2Te (PBE)

Data for a geometry-optimized Tb2Te structure.

formation energy from raw total energies: -0.87 eV per atom
symmetry: No. 62
spin magnetization: 0.00 μB/atom

```
Tb2Te
1.0
-0.1916 3.8744 -0.7264
-2.6794 -1.5710 -7.6723
-10.1147 0.1561 3.5004
Tb Te
8 4
Cartesian
-4.3657 -0.5707 -7.2527
-6.0948 0.8053 0.5427
-11.3655 0.0805 -1.9331
-8.6200 3.0302 2.3544
-8.2005 2.2175 -2.0906
-6.8909 1.6542 -5.4410
-4.7852 0.2419 -2.8077
-1.6203 2.3790 -2.9652
-3.7319 1.8376 -5.2960
-4.0077 2.6480 -0.9007
-9.2539 0.6219 0.3977
-8.9780 -0.1885 -3.9976
```